(1)
Below is a relaxed SrCd2 crystal, with properties calculated at the PBE-GGA level.

a = 14.541 Å, b = 4.510 Å, c = 5.412 Å
α = 90.00°, β = 90.67°, γ = 90.00°
Space group C2/m (No. 12)
Asymmetric unit:
1 Sr 0.091 0.000 0.252 x4
2 Cd 0.102 0.500 0.752 x4
3 Cd 0.237 0.000 0.754 x4

Spin magnetization (μB/atom): 0.00
Formation enthalpy at 0 K (kJ/mol of formula units): -77
Crystal system: monoclinic



(2)
Below is a relaxed TlMoSe2 crystal, with properties calculated at the PBE-GGA level.

a = 3.408 Å, b = 3.408 Å, c = 9.048 Å
α = 90.00°, β = 90.00°, γ = 90.00°
Space group P4mm (No. 99)
Asymmetric unit:
1 Tl 0.000 0.000 0.000 x1
2 Mo 0.500 0.500 0.517 x1
3 Se 0.000 0.000 0.411 x1
4 Se 0.500 0.500 0.778 x1

Energy relative to the elements, uncorrected (eV/atom): -0.0444
Spin magnetization (μB/atom): 0.17
Crystal system: tetragonal



(3)
Below is a relaxed Li3PdF7 crystal, with properties calculated at the PBE-GGA level.

a = 7.147 Å, b = 7.304 Å, c = 5.623 Å
α = 90.00°, β = 109.33°, γ = 90.00°
Space group Cm (No. 8)
Asymmetric unit:
1 Li 0.000 0.000 0.000 x2
2 Li 0.396 0.272 0.552 x4
3 Pd 0.022 0.500 0.159 x2
4 F 0.104 0.309 0.419 x4
5 F 0.270 0.000 0.226 x2
6 F 0.286 0.500 0.133 x2
7 F 0.440 0.192 0.906 x4
8 F 0.483 0.500 0.671 x2

Energy relative to the elements, uncorrected (eV/atom): -2.1948
Spin magnetization (μB/atom): 0.01
Crystal system: monoclinic



(4)
Below is a relaxed SrTlIN2 crystal, with properties calculated at the PBE-GGA level.

a = 5.101 Å, b = 5.101 Å, c = 6.672 Å
α = 90.00°, β = 90.00°, γ = 90.00°
Space group P4/mmm (No. 123)
Asymmetric unit:
1 Sr 0.000 0.000 0.000 x1
2 Tl 0.500 0.500 0.500 x1
3 I 0.000 0.000 0.500 x1
4 N 0.000 0.500 0.000 x2

Offset from the most stable computed form (meV/atom): 0
Energy relative to the elements, uncorrected (eV/atom): 0.8310
Spin magnetization (μB/atom): 0.80
Crystal system: tetragonal



Question: Look up the spin magnetization of the third one.
Answer: 0.01 μB/atom